Entry from OQMD: a geometry-optimized Zr4CS2N structure (PBE).

POSCAR file:
```
Zr4CS2N
1.0
3.420 0.000 0.000
-1.710 2.962 0.000
0.000 0.000 12.121
Zr C S N
4 1 2 1
Cartesian
0.000 1.975 1.229
0.000 1.975 4.879
1.710 0.987 7.243
1.710 0.987 10.892
0.000 0.000 0.000
0.000 1.975 9.046
1.710 0.987 3.075
0.000 0.000 6.061
```

The total energy comes out at -8.973 eV per atom. The symmetry is No. 164. Its density is 6.2 g/cm³.